Material: Al2CuSe
Method: DFT, PBE
State: relaxed Values from VASP.

Results
The raw total energy is -15.3 eV per cell.

Quantum ESPRESSO input file:
```
&SYSTEM
  ibrav = 0, nat = 4, ntyp = 3
/
ATOMIC_SPECIES
Cu 63.55 Cu.upf
Se 78.96 Se.upf
Al 26.98 Al.upf
ATOMIC_POSITIONS angstrom
Cu 0.5410 -8.7936 5.9561
Se 0.8059 -13.0989 8.8722
Al 0.2630 -4.2747 2.8954
Al 0.0091 -0.1477 0.1000
CELL_PARAMETERS angstrom
-0.8459 -6.7877 2.6826
2.3338 -5.9063 3.6952
-0.4086 -4.8493 5.5047
```

Material: AlCu2Se2
Method: DFT, PBE
State: relaxed Values from VASP.

Results
The calculation puts the polymorph energy (0 for the lowest one) at 185 meV/atom.

Quantum ESPRESSO input file:
```
&SYSTEM
  ibrav = 0, nat = 5, ntyp = 3
/
ATOMIC_SPECIES
Se 78.96 Se.upf
Cu 63.55 Cu.upf
Al 26.98 Al.upf
ATOMIC_POSITIONS angstrom
Se -3.0756 2.0838 3.8365
Se -0.3818 2.4575 4.7261
Cu -2.4183 3.7184 5.7616
Cu -1.0391 0.8228 2.8011
Al 0.0000 0.0000 0.0000
CELL_PARAMETERS angstrom
-3.5409 -0.7212 1.8215
1.8469 0.0262 3.6006
-1.7634 5.2363 3.1405
```

Material: AlCu2TeSe2
Method: DFT, PBE
State: relaxed Values from VASP.

Results
The raw total energy is -48.5 eV per cell.

Quantum ESPRESSO input file:
```
&SYSTEM
  ibrav = 0, nat = 12, ntyp = 4
/
ATOMIC_SPECIES
Se 78.96 Se.upf
Cu 63.55 Cu.upf
Al 26.98 Al.upf
Te 127.60 Te.upf
ATOMIC_POSITIONS angstrom
Se -5.4436 2.8414 0.4171
Se -3.1659 0.5071 2.8225
Se -3.1815 -3.4084 2.2770
Se -5.4592 -1.0741 -0.1283
Cu -3.4644 -1.2621 1.1976
Cu -6.8795 -3.0275 0.0069
Cu -3.3952 2.6113 1.6516
Cu -6.8103 0.8460 0.4609
Al -3.0704 -5.0783 0.5313
Al -4.8136 -0.8176 -2.4448
Te -1.3474 -1.0569 -0.3044
Te -5.3521 -4.9474 -0.8655
CELL_PARAMETERS angstrom
-5.7059 0.5217 -3.5820
-1.7903 -6.4531 1.9119
-1.9277 5.4374 3.8627
```

Material: AlTl2CuSe4
Method: DFT, PBE
State: relaxed Values from VASP.

Results
The raw total energy is -29.8 eV per cell.

Quantum ESPRESSO input file:
```
&SYSTEM
  ibrav = 0, nat = 8, ntyp = 4
/
ATOMIC_SPECIES
Se 78.96 Se.upf
Cu 63.55 Cu.upf
Tl 204.38 Tl.upf
Al 26.98 Al.upf
ATOMIC_POSITIONS angstrom
Se 1.1816 -0.1309 5.1052
Se 1.6646 3.1805 -2.5730
Se -0.1208 2.9770 3.2561
Se -2.8375 0.8896 4.9915
Cu -1.9458 4.3708 2.4665
Tl 2.8839 3.0510 3.3599
Tl 0.4703 1.8795 0.2085
Al -0.5283 1.5748 5.1812
CELL_PARAMETERS angstrom
-5.8330 1.0067 4.0785
3.8343 -1.6140 5.8671
1.9975 4.2849 -4.5319
```

Material: AlZnCu2Se4
Method: DFT, PBE
State: relaxed Values from VASP.

Results
The raw total energy is -31.3 eV per cell.

Quantum ESPRESSO input file:
```
&SYSTEM
  ibrav = 0, nat = 8, ntyp = 4
/
ATOMIC_SPECIES
Cu 63.55 Cu.upf
Zn 65.41 Zn.upf
Se 78.96 Se.upf
Al 26.98 Al.upf
ATOMIC_POSITIONS angstrom
Cu -1.5033 -3.4011 1.4666
Cu 1.8866 -1.9852 2.9117
Zn 0.3837 -5.3857 4.3767
Se -0.1642 -3.1448 3.4664
Se -0.2453 -4.6237 -0.2011
Se -1.9143 0.2270 4.2681
Se 3.0909 -3.2303 1.2211
Al 1.7786 -3.4275 -0.8140
CELL_PARAMETERS angstrom
-1.6111 -4.8431 -2.2600
5.1687 -2.0113 0.6303
-3.1740 1.4686 6.0066
```

Material: AlZnCu3Se4
Method: DFT, PBE
State: relaxed Values from VASP.

Results
The raw total energy is -34.0 eV per cell.

Quantum ESPRESSO input file:
```
&SYSTEM
  ibrav = 0, nat = 9, ntyp = 4
/
ATOMIC_SPECIES
Al 26.98 Al.upf
Se 78.96 Se.upf
Cu 63.55 Cu.upf
Zn 65.41 Zn.upf
ATOMIC_POSITIONS angstrom
Al 0.0000 0.0000 0.0000
Se -1.9941 -1.4445 0.0101
Se -5.7699 -1.9025 1.4908
Se -4.9049 -3.1231 -2.3067
Se -3.4037 -5.1730 0.8875
Cu -0.2704 -2.4562 -1.4492
Cu -1.1289 -1.2446 2.3201
Cu -2.6189 0.7900 -0.8504
Zn -4.0182 -2.9108 0.0204
CELL_PARAMETERS angstrom
-5.2379 1.5801 -1.7009
-0.5407 -4.9124 -2.8984
-2.2577 -2.4893 4.6402
```

Material: AlZn2CuSe4
Method: DFT, PBE
State: relaxed Values from VASP.

Results
The raw total energy is -29.7 eV per cell.

Quantum ESPRESSO input file:
```
&SYSTEM
  ibrav = 0, nat = 8, ntyp = 4
/
ATOMIC_SPECIES
Se 78.96 Se.upf
Al 26.98 Al.upf
Zn 65.41 Zn.upf
Cu 63.55 Cu.upf
ATOMIC_POSITIONS angstrom
Se -3.0367 0.5206 3.5544
Se -0.8322 3.7609 2.6998
Se 3.5309 -1.7041 2.6472
Se 0.8989 0.6029 4.6051
Al -2.6430 2.3169 1.9671
Zn -0.9665 -0.8319 3.8058
Zn 1.2472 2.4220 2.9477
Cu 0.2799 1.5903 6.7525
CELL_PARAMETERS angstrom
-0.4297 5.5709 1.1083
-4.8572 -0.9369 2.8245
5.5669 -3.0437 2.8198
```

Material: AlCuSi
Method: DFT, PBE
State: relaxed Values from VASP.

Results
The raw total energy is -13.1 eV per cell.

Quantum ESPRESSO input file:
```
&SYSTEM
  ibrav = 0, nat = 3, ntyp = 3
/
ATOMIC_SPECIES
Al 26.98 Al.upf
Cu 63.55 Cu.upf
Si 28.09 Si.upf
ATOMIC_POSITIONS angstrom
Al 0.0000 0.0000 0.0392
Cu 1.4696 0.8485 1.9527
Si 0.0000 1.6969 3.7489
CELL_PARAMETERS angstrom
2.9391 0.0000 0.0000
-1.4696 2.5454 0.0000
0.0000 0.0000 5.7408
```

Material: AlCuSi
Method: DFT, PBE
State: relaxed Values from VASP.

Results
The raw total energy is -26.1 eV per cell.

Quantum ESPRESSO input file:
```
&SYSTEM
  ibrav = 0, nat = 6, ntyp = 3
/
ATOMIC_SPECIES
Al 26.98 Al.upf
Si 28.09 Si.upf
Cu 63.55 Cu.upf
ATOMIC_POSITIONS angstrom
Al 3.3437 -1.5696 2.5864
Al 2.1060 1.1375 1.9661
Si 0.0000 0.0000 0.0000
Si -0.8053 0.1902 2.4370
Cu 1.0280 -1.3392 1.8032
Cu 4.4217 0.9071 2.7493
CELL_PARAMETERS angstrom
-0.5160 2.7454 2.3331
-1.0946 -2.3650 2.5408
6.2549 -0.6223 2.1155
```

Material: Al4Cu2Si
Method: DFT, PBE
State: relaxed Values from VASP.

Results
The calculation puts the polymorph energy (0 for the lowest one) at 176 meV/atom.

Quantum ESPRESSO input file:
```
&SYSTEM
  ibrav = 0, nat = 7, ntyp = 3
/
ATOMIC_SPECIES
Cu 63.55 Cu.upf
Al 26.98 Al.upf
Si 28.09 Si.upf
ATOMIC_POSITIONS angstrom
Cu 1.5537 1.7767 3.5602
Cu -0.1634 2.4117 0.1991
Al 5.7065 4.1287 3.9533
Al 7.7081 2.2547 4.9300
Al 3.6015 1.0535 2.3035
Al 1.8173 2.9910 1.4659
Si 5.6238 1.6451 3.5969
CELL_PARAMETERS angstrom
0.1346 3.6360 -1.8733
-2.1028 -0.4300 3.4844
7.9167 2.3157 5.0634
```

Material: AlCuSi2
Method: DFT, PBE
State: relaxed Values from VASP.

Results
The raw total energy is -17.9 eV per cell.

Quantum ESPRESSO input file:
```
&SYSTEM
  ibrav = 0, nat = 4, ntyp = 3
/
ATOMIC_SPECIES
Al 26.98 Al.upf
Si 28.09 Si.upf
Cu 63.55 Cu.upf
ATOMIC_POSITIONS angstrom
Al 4.6694 1.4520 2.4100
Si 8.2894 2.5776 0.1392
Si 6.9218 2.1523 3.5544
Cu 2.2515 0.7001 1.0508
CELL_PARAMETERS angstrom
4.5714 -0.0217 0.0083
3.7530 2.6102 0.0083
0.8808 0.2739 4.7420
```

Material: AlCuSi2
Method: DFT, PBE
State: relaxed Values from VASP.

Results
The raw total energy is -17.9 eV per cell.

Quantum ESPRESSO input file:
```
&SYSTEM
  ibrav = 0, nat = 4, ntyp = 3
/
ATOMIC_SPECIES
Cu 63.55 Cu.upf
Al 26.98 Al.upf
Si 28.09 Si.upf
ATOMIC_POSITIONS angstrom
Cu 2.1936 1.9240 3.8213
Al 2.1936 0.6413 1.2738
Si 0.0000 1.9225 5.0835
Si 0.0000 1.9255 2.5591
CELL_PARAMETERS angstrom
4.3873 0.0000 0.0000
0.0000 2.5732 0.0044
0.0000 -0.0079 5.0906
```

Material: AlCuSi2
Method: DFT, PBE
State: relaxed Values from VASP.

Results
The raw total energy is -17.8 eV per cell.

Quantum ESPRESSO input file:
```
&SYSTEM
  ibrav = 0, nat = 4, ntyp = 3
/
ATOMIC_SPECIES
Si 28.09 Si.upf
Al 26.98 Al.upf
Cu 63.55 Cu.upf
ATOMIC_POSITIONS angstrom
Si 0.0000 1.6753 6.1761
Si 1.4508 0.8376 2.0475
Al 0.0000 0.0000 0.0452
Cu 1.4508 0.8376 4.4046
CELL_PARAMETERS angstrom
2.9017 0.0000 0.0000
-1.4508 2.5129 0.0000
0.0000 0.0000 8.2029
```

Material: AlCuSi2
Method: DFT, PBE
State: relaxed Values from VASP.

Results
The raw total energy is -17.8 eV per cell.

Quantum ESPRESSO input file:
```
&SYSTEM
  ibrav = 0, nat = 4, ntyp = 3
/
ATOMIC_SPECIES
Si 28.09 Si.upf
Cu 63.55 Cu.upf
Al 26.98 Al.upf
ATOMIC_POSITIONS angstrom
Si 2.0941 0.0296 1.7236
Si 0.0000 0.0000 0.0000
Cu 0.7264 2.3314 1.2116
Al -0.4423 0.3621 2.6654
CELL_PARAMETERS angstrom
-1.8100 2.6639 2.1533
0.9254 -1.9396 3.1774
3.2629 1.9988 0.2699
```

Material: AlCuSi
Method: DFT, PBE
State: relaxed Values from VASP.

Results
The raw total energy is -52.4 eV per cell.

Quantum ESPRESSO input file:
```
&SYSTEM
  ibrav = 0, nat = 12, ntyp = 3
/
ATOMIC_SPECIES
Si 28.09 Si.upf
Al 26.98 Al.upf
Cu 63.55 Cu.upf
ATOMIC_POSITIONS angstrom
Si 0.9873 0.9873 7.4362
Si 2.9622 2.9620 4.1543
Si 2.9622 2.9620 1.6409
Si 0.9873 0.9873 9.9495
Al 2.9620 2.9620 9.9399
Al 0.9876 0.9873 4.1446
Al 2.9620 2.9620 7.4458
Al 0.9876 0.9873 1.6506
Cu 0.9873 2.9620 5.7949
Cu 2.9623 0.9873 11.5901
Cu 0.9873 2.9620 0.0003
Cu 2.9623 0.9873 5.7955
CELL_PARAMETERS angstrom
3.9495 0.0000 0.0000
0.0000 3.9494 0.0000
0.0000 0.0000 11.5904
```

Material: AlCu2Si3
Method: DFT, PBE
State: relaxed Values from VASP.

Results
The calculation puts the polymorph energy (0 for the lowest one) at 48 meV/atom.

Quantum ESPRESSO input file:
```
&SYSTEM
  ibrav = 0, nat = 6, ntyp = 3
/
ATOMIC_SPECIES
Al 26.98 Al.upf
Cu 63.55 Cu.upf
Si 28.09 Si.upf
ATOMIC_POSITIONS angstrom
Al 0.0000 0.0000 0.0000
Cu -2.4902 0.7522 3.8650
Cu 0.9194 4.0469 -2.1171
Si -0.6342 1.8718 -1.8111
Si -0.7854 2.3996 0.8739
Si -2.3709 0.1936 1.2358
CELL_PARAMETERS angstrom
1.0867 3.5347 -4.8303
-4.0917 -1.4693 4.2551
1.4342 2.7337 2.3231
```

Material: AlCuSi
Method: DFT, PBE
State: relaxed Values from VASP.

Results
The raw total energy is -26.3 eV per cell.

Quantum ESPRESSO input file:
```
&SYSTEM
  ibrav = 0, nat = 6, ntyp = 3
/
ATOMIC_SPECIES
Cu 63.55 Cu.upf
Al 26.98 Al.upf
Si 28.09 Si.upf
ATOMIC_POSITIONS angstrom
Cu 1.9643 0.5648 3.5310
Cu 6.2160 2.2966 3.5858
Al 4.0233 1.4449 2.3844
Al 6.5738 0.8696 1.4563
Si 5.3964 1.1361 5.5701
Si 3.0351 1.6801 5.3908
CELL_PARAMETERS angstrom
6.1347 -0.0645 -0.0083
0.5724 2.5754 -0.0069
1.0360 -0.2431 5.7486
```

Material: AlCuSi2
Method: DFT, PBE
State: relaxed Values from VASP.

Results
The raw total energy is -17.8 eV per cell.

Quantum ESPRESSO input file:
```
&SYSTEM
  ibrav = 0, nat = 4, ntyp = 3
/
ATOMIC_SPECIES
Al 26.98 Al.upf
Cu 63.55 Cu.upf
Si 28.09 Si.upf
ATOMIC_POSITIONS angstrom
Al 0.9096 0.5006 2.4705
Cu 3.5088 2.6561 3.6811
Si 2.6833 2.2253 1.2497
Si 5.1144 4.2414 2.3820
CELL_PARAMETERS angstrom
-1.7057 0.9059 2.0491
0.9256 -2.0604 1.6814
5.1984 4.3111 2.4212
```

Material: AlCu6Si
Method: DFT, PBE
State: relaxed Values from VASP.

Results
The calculation puts the polymorph energy (0 for the lowest one) at 0 meV/atom.

Quantum ESPRESSO input file:
```
&SYSTEM
  ibrav = 0, nat = 8, ntyp = 3
/
ATOMIC_SPECIES
Cu 63.55 Cu.upf
Al 26.98 Al.upf
Si 28.09 Si.upf
ATOMIC_POSITIONS angstrom
Cu 1.9426 0.9641 5.3408
Cu -0.7085 -2.1367 1.2685
Cu 1.4870 -1.2075 4.0600
Cu -0.2058 0.0549 2.6092
Cu 1.7400 -1.2425 1.5107
Cu 3.8884 -0.3333 4.2422
Al 0.0000 0.0000 0.0000
Si 2.1956 0.9292 2.7915
CELL_PARAMETERS angstrom
-2.6544 -0.8392 2.3671
1.2373 -3.4341 0.1699
4.3912 1.8583 5.5830
```

Material: Al2CuSi3
Method: DFT, PBE
State: relaxed Values from VASP.

Results
The calculation puts the polymorph energy (0 for the lowest one) at 192 meV/atom.

Quantum ESPRESSO input file:
```
&SYSTEM
  ibrav = 0, nat = 12, ntyp = 3
/
ATOMIC_SPECIES
Al 26.98 Al.upf
Si 28.09 Si.upf
Cu 63.55 Cu.upf
ATOMIC_POSITIONS angstrom
Al 2.4721 1.4300 0.0001
Al 2.4721 1.4300 4.6438
Al -0.0017 2.8559 4.6440
Al -0.0017 2.8559 9.2877
Si 1.2352 2.1429 6.9659
Si -0.0046 4.2849 6.9659
Si 1.2352 2.1429 2.3220
Si 3.7101 2.1437 2.3220
Si 2.4750 0.0009 2.3220
Si -1.2397 2.1421 6.9659
Cu 0.0000 0.0000 4.6439
Cu 0.0000 0.0000 0.0000
CELL_PARAMETERS angstrom
4.9499 0.0017 0.0000
-2.4796 4.2841 0.0000
0.0000 0.0000 9.2878
```